No. 1
The following is a DFT calculation (PBE) of Np2ZnO11 after structural relaxation.

a b c (Å): 9.2041 9.2041 6.4445
angles (deg): 109.05 109.05 102.23
Last column: nearest neighbours and their distance in Å.
Atoms (fractional coordinates):
Np  0.0741  0.9259  0.5000  4 O 1.82-1.93
Np  0.4401  0.5912  0.9080  4 O 1.82-1.93
Np  0.5912  0.4401  0.4080  4 O 1.82-1.93
Np  0.9259  0.0741  0.0000  4 O 1.82-1.93
Zn  0.0082  0.5092  0.4587  4 O 1.94-2.00
Zn  0.5092  0.0082  0.9587  4 O 1.94-2.00
O  0.0103  0.6930  0.3568  1 Np 1.90, 1 Zn 2.00
O  0.1111  0.1420  0.6718  1 Np 1.82
O  0.1420  0.1111  0.1718  1 Np 1.82
O  0.2375  0.8731  0.2648  1 O 1.32
O  0.2393  0.5836  0.6778  1 Np 1.93, 1 Zn 1.94
O  0.2767  0.9426  0.7408  1 Np 1.93, 1 Zn 1.96
O  0.3178  0.6584  0.2035  1 O 1.30
O  0.3398  0.8046  0.3546  2 O 1.30-1.32
O  0.3724  0.3869  0.2293  1 Np 1.82
O  0.3869  0.3724  0.7293  1 Np 1.82
O  0.5135  0.8245  0.0532  1 Np 1.90, 1 Zn 1.98
O  0.5836  0.2393  0.1778  1 Np 1.93, 1 Zn 1.94
O  0.5865  0.6136  0.6695  1 Np 1.93
O  0.6136  0.5865  0.1695  1 Np 1.93
O  0.6584  0.3178  0.7035  1 O 1.30
O  0.6930  0.0103  0.8568  1 Np 1.90, 1 Zn 2.00
O  0.8046  0.3398  0.8546  2 O 1.30-1.32
O  0.8245  0.5135  0.5532  1 Np 1.90, 1 Zn 1.98
O  0.8731  0.2375  0.7648  1 O 1.32
O  0.9015  0.9194  0.2256  1 Np 1.93
O  0.9194  0.9015  0.7256  1 Np 1.93
O  0.9426  0.2767  0.2408  1 Np 1.93, 1 Zn 1.96

Calculated values
size of the total moment = 0.00 μB/atom
E = -7.427 eV per atom


No. 2
The following is a DFT calculation (PBE) of NpZn2O6 after structural relaxation.

a b c (Å): 5.5826 5.5826 6.9084
angles (deg): 100.88 100.88 38.69
Last column: nearest neighbours and their distance in Å.
Atoms (fractional coordinates):
Np  0.0000  0.0000  0.0000  2 O 1.84
Zn  0.2511  0.2511  0.6644  5 O 1.92-2.12
Zn  0.7489  0.7489  0.3356  5 O 1.92-2.12
O  0.0828  0.0828  0.7896  1 Np 1.84
O  0.2086  0.2086  0.3657  3 Zn 1.92-2.02
O  0.3890  0.3890  0.9081  1 Zn 1.99, 2 Np 2.21
O  0.6110  0.6110  0.0919  1 Zn 1.99, 2 Np 2.21
O  0.7914  0.7914  0.6343  3 Zn 1.92-2.02
O  0.9172  0.9172  0.2104  1 Np 1.84

Calculated values
size of the total moment = 0.00 μB/atom
E = -6.711 eV per atom


No. 3
The following is a DFT calculation (PBE) of ZrNpO4 after structural relaxation.

a b c (Å): 5.3535 5.3535 5.2912
angles (deg): 90.00 90.00 90.00
Last column: nearest neighbours and their distance in Å.
Atoms (fractional coordinates):
Zr  0.0000  0.0000  0.0000  4 O 2.09
Zr  0.5000  0.5000  0.0000  4 O 2.09
Np  0.0000  0.5000  0.5000  8 O 2.33-2.34
Np  0.5000  0.0000  0.5000  8 O 2.33-2.34
O  0.2149  0.2168  0.7538  1 Zr 2.09, 2 Np 2.33-2.34
O  0.2168  0.7851  0.2462  1 Zr 2.09, 2 Np 2.33-2.34
O  0.2832  0.2851  0.2462  1 Zr 2.09, 2 Np 2.33-2.34
O  0.2851  0.7168  0.7538  1 Zr 2.09, 2 Np 2.33-2.34
O  0.7149  0.2832  0.7538  1 Zr 2.09, 2 Np 2.33-2.34
O  0.7168  0.7149  0.2462  1 Zr 2.09, 2 Np 2.33-2.34
O  0.7832  0.2149  0.2462  1 Zr 2.09, 2 Np 2.33-2.34
O  0.7851  0.7832  0.7538  1 Zr 2.09, 2 Np 2.33-2.34

Calculated values
size of the total moment = 0.50 μB/atom
E = -10.038 eV per atom


No. 4
The following is a DFT calculation (PBE) of ZrNpO5 after structural relaxation.

a b c (Å): 5.6488 5.6488 5.6488
angles (deg): 139.38 107.19 86.88
Last column: nearest neighbours and their distance in Å.
Atoms (fractional coordinates):
Zr  0.0000  0.0000  0.0000  4 O 1.96-2.11
Np  0.5000  0.5000  0.0000  2 O 1.86
O  0.0000  0.5000  0.5000  2 Zr 1.96
O  0.2731  0.2731  0.0000  1 Np 1.86
O  0.3151  0.0000  0.3151  1 Zr 2.11, 2 Np 2.32
O  0.6849  0.0000  0.6849  1 Zr 2.11, 2 Np 2.32
O  0.7269  0.7269  0.0000  1 Np 1.86

Calculated values
size of the total moment = 0.14 μB/atom
E = -9.463 eV per atom


No. 5
The following is a DFT calculation (PBE) of ZrNp2O8 after structural relaxation.

a b c (Å): 5.8716 5.8716 4.7710
angles (deg): 100.62 100.62 72.12
Last column: nearest neighbours and their distance in Å.
Atoms (fractional coordinates):
Zr  0.0000  0.0000  0.0000  6 O 2.08-2.14
Np  0.3527  0.3527  0.7130  4 O 1.96-2.01
Np  0.6473  0.6473  0.2870  4 O 1.96-2.01
O  0.0785  0.6497  0.7520  1 Np 1.98, 1 Zr 2.14
O  0.1506  0.1506  0.7432  1 Np 1.96, 1 Zr 2.08
O  0.3503  0.9215  0.2480  1 Np 1.98, 1 Zr 2.14
O  0.4301  0.4301  0.2153  1 Np 2.01
O  0.5699  0.5699  0.7847  1 Np 2.01
O  0.6497  0.0785  0.7520  1 Np 1.98, 1 Zr 2.14
O  0.8494  0.8494  0.2568  1 Np 1.96, 1 Zr 2.08
O  0.9215  0.3503  0.2480  1 Np 1.98, 1 Zr 2.14

Calculated values
size of the total moment = 0.18 μB/atom
E = -9.501 eV per atom


No. 6
The following is a DFT calculation (PBE) of ZrNpO6 after structural relaxation.

a b c (Å): 5.8126 5.8126 5.8126
angles (deg): 59.90 59.90 59.90
Last column: nearest neighbours and their distance in Å.
Atoms (fractional coordinates):
Zr  0.0000  0.0000  0.0000  6 O 2.10
Np  0.5000  0.5000  0.5000  6 O 2.01
O  0.2527  0.7448  0.2589  1 Np 2.01, 1 Zr 2.10
O  0.2552  0.7411  0.7473  1 Np 2.01, 1 Zr 2.10
O  0.2589  0.2527  0.7448  1 Np 2.01, 1 Zr 2.10
O  0.7411  0.7473  0.2552  1 Np 2.01, 1 Zr 2.10
O  0.7448  0.2589  0.2527  1 Np 2.01, 1 Zr 2.10
O  0.7473  0.2552  0.7411  1 Np 2.01, 1 Zr 2.10

Calculated values
size of the total moment = 0.13 μB/atom
E = -8.866 eV per atom


No. 7
The following is a DFT calculation (PBE) of ZrNp4O10 after structural relaxation.

a b c (Å): 15.5665 15.5665 15.5665
angles (deg): 13.97 13.97 13.97
Last column: nearest neighbours and their distance in Å.
Atoms (fractional coordinates):
Zr  0.0000  0.0000  0.0000  8 O 2.19-2.29
Np  0.2006  0.2006  0.2006  8 O 2.32-2.36
Np  0.3983  0.3983  0.3983  8 O 2.32-2.34
Np  0.6017  0.6017  0.6017  8 O 2.32-2.34
Np  0.7994  0.7994  0.7994  8 O 2.32-2.36
O  0.0474  0.0474  0.0474  1 Zr 2.19, 3 Np 2.33
O  0.1498  0.1498  0.1498  4 Np 2.32-2.35
O  0.2517  0.2517  0.2517  4 Np 2.32-2.36
O  0.3479  0.3479  0.3479  3 Zr 2.29, 1 Np 2.33
O  0.4488  0.4488  0.4488  4 Np 2.33-2.34
O  0.5512  0.5512  0.5512  4 Np 2.33-2.34
O  0.6521  0.6521  0.6521  3 Zr 2.29, 1 Np 2.33
O  0.7483  0.7483  0.7483  4 Np 2.32-2.36
O  0.8502  0.8502  0.8502  4 Np 2.32-2.35
O  0.9526  0.9526  0.9526  1 Zr 2.19, 3 Np 2.33

Calculated values
size of the total moment = 0.80 μB/atom
E = -10.460 eV per atom


No. 8
The following is a DFT calculation (PBE) of NpOs4 after structural relaxation.

a b c (Å): 4.7133 4.7133 4.7133
angles (deg): 90.00 90.00 90.00
Last column: nearest neighbours and their distance in Å.
Atoms (fractional coordinates):
Np  0.0000  0.0000  0.0000  6 Os 2.36
Os  0.0000  0.0000  0.5000  2 Np 2.36
Os  0.0000  0.5000  0.0000  2 Np 2.36
Os  0.5000  0.0000  0.0000  2 Np 2.36
Os  0.5000  0.5000  0.5000  12 Os 3.33

Calculated values
ΔE_f = 13.2 eV/f.u.
size of the total moment = 0.59 μB/atom


No. 9
The following is a DFT calculation (PBE) of NpOs3 after structural relaxation.

a b c (Å): 4.0027 4.0027 4.0027
angles (deg): 90.00 90.00 90.00
Last column: nearest neighbours and their distance in Å.
Atoms (fractional coordinates):
Np  0.0000  0.0000  0.0000  12 Os 2.83
Os  0.0000  0.5000  0.5000  8 Os 2.83, 4 Np 2.83
Os  0.5000  0.0000  0.5000  8 Os 2.83, 4 Np 2.83
Os  0.5000  0.5000  0.0000  8 Os 2.83, 4 Np 2.83

Calculated values
ΔE_f = 0.1 eV/f.u.
size of the total moment = 0.00 μB/atom


No. 10
The following is a DFT calculation (PBE) of NpOs6 after structural relaxation.

a b c (Å): 5.8931 5.8931 5.8931
angles (deg): 109.47 109.47 109.47
Last column: nearest neighbours and their distance in Å.
Atoms (fractional coordinates):
Np  0.0000  0.0000  0.0000  24 Os 3.80
Os  0.2500  0.5000  0.7500  4 Os 2.41
Os  0.2500  0.7500  0.5000  4 Os 2.41
Os  0.5000  0.2500  0.7500  4 Os 2.41
Os  0.5000  0.7500  0.2500  4 Os 2.41
Os  0.7500  0.2500  0.5000  4 Os 2.41
Os  0.7500  0.5000  0.2500  4 Os 2.41

Calculated values
ΔE_f = 7.2 eV/f.u.
size of the total moment = 0.59 μB/atom


No. 11
The following is a DFT calculation (PBE) of NpOs2 after structural relaxation.

a b c (Å): 6.8082 6.8082 6.8082
angles (deg): 156.18 156.18 33.94
Last column: nearest neighbours and their distance in Å.
Atoms (fractional coordinates):
Np  0.0000  0.0000  0.0000  4 Np 2.81, 8 Os 3.12
Os  0.3150  0.3150  0.0000  8 Os 2.61-2.81
Os  0.6850  0.6850  0.0000  8 Os 2.61-2.81

Calculated values
ΔE_f = 0.7 eV/f.u.
size of the total moment = 1.09 μB/atom


No. 12
The following is a DFT calculation (PBE) of NpOs2 after structural relaxation.

a b c (Å): 5.3306 5.3306 5.3306
angles (deg): 60.00 60.00 60.00
Last column: nearest neighbours and their distance in Å.
Atoms (fractional coordinates):
Np  0.1250  0.1250  0.1250  12 Os 3.13, 4 Np 3.26
Np  0.8750  0.8750  0.8750  12 Os 3.13, 4 Np 3.26
Os  0.0000  0.5000  0.5000  6 Os 2.67
Os  0.5000  0.0000  0.5000  6 Os 2.67
Os  0.5000  0.5000  0.0000  6 Os 2.67
Os  0.5000  0.5000  0.5000  6 Os 2.67

Calculated values
ΔE_f = 0.1 eV/f.u.
size of the total moment = 1.05 μB/atom


Number 1: V 16.28 Å³ per atom. Number 2: V 14.65 Å³ per atom. Number 3: V 12.64 Å³ per atom. Number 4: V 15.41 Å³ per atom. Number 5: V 13.86 Å³ per atom. Number 6: V 17.32 Å³ per atom. Number 7: V 12.75 Å³ per atom. Number 8: V 20.94 Å³ per atom. Number 9: V 16.03 Å³ per atom. Number 10: V 22.51 Å³ per atom. Number 11: V 17.14 Å³ per atom. Number 12: V 17.85 Å³ per atom.